Entry 1:
{
  "formula": "TbPu2H",
  "functional": "PBE-GGA",
  "state": "relaxed",
  "cell": [[1.8445, 1.0649, 6.3644], [-1.8445, 1.0649, 6.3644], [0.0000, -2.1298, 6.3644]],
  "species": ["Tb", "Pu", "Pu", "H"],
  "fractional_positions": [[0.0000, 0.0000, 0.0000], [0.1954, 0.1954, 0.1954], [0.8046, 0.8046, 0.8046], [0.5000, 0.5000, 0.5000]],
  "crystal_system": "trigonal",
  "energy_ev_per_atom": -8.97
}

=====

Entry 2:
{
  "formula": "CoSn2GeS",
  "functional": "PBE-GGA",
  "state": "relaxed",
  "cell": [[5.3796, 0.0000, 0.0000], [0.0000, 5.3796, 0.0000], [0.0000, 0.0000, 4.3970]],
  "species": ["Co", "Sn", "Sn", "Ge", "S"],
  "fractional_positions": [[0.0000, 0.0000, 0.0000], [0.0000, 0.5000, 0.5000], [0.5000, 0.0000, 0.5000], [0.0000, 0.0000, 0.5000], [0.5000, 0.5000, 0.0000]],
  "raw_formation_energy_ev_per_atom": 0.650,
  "crystal_system": "tetragonal",
  "energy_ev_per_atom": -4.12
}

=====

Entry 3:
{
  "formula": "Mg2Zn2Pd5",
  "functional": "PBE-GGA",
  "state": "relaxed",
  "cell": [[-8.1712, 2.2189, 3.8682], [8.1712, -2.2189, 3.8682], [8.1712, 2.2189, -3.8682]],
  "species": ["Mg", "Mg", "Mg", "Mg", "Zn", "Zn", "Zn", "Zn", "Pd", "Pd", "Pd", "Pd", "Pd", "Pd", "Pd", "Pd", "Pd", "Pd"],
  "fractional_positions": [[0.0009, 0.0934, 0.0944], [0.0009, 0.4066, 0.4075], [0.9991, 0.5934, 0.5925], [0.9991, 0.9066, 0.9056], [0.3335, 0.3335, 0.0000], [0.3335, 0.8335, 0.5000], [0.6677, 0.4190, 0.7487], [0.6703, 0.9190, 0.2513], [0.0003, 0.2517, 0.2486], [0.0030, 0.7517, 0.7514], [0.3337, 0.1696, 0.8350], [0.3337, 0.9987, 0.6641], [0.3346, 0.4987, 0.1650], [0.3346, 0.6696, 0.3359], [0.6662, 0.0839, 0.4156], [0.6662, 0.7506, 0.0823], [0.6683, 0.2506, 0.5844], [0.6683, 0.5839, 0.9177]],
  "formation_energy_kj_per_mol_atoms": -48.1,
  "crystal_system": "orthorhombic",
  "energy_ev_per_atom": -4.02
}

=====

Entry 4:
{
  "formula": "Np4Al6Ga7",
  "functional": "PBE-GGA",
  "state": "relaxed",
  "cell": [[-4.3420, 4.3420, 4.3420], [4.3420, -4.3420, 4.3420], [4.3420, 4.3420, -4.3420]],
  "species": ["Np", "Np", "Np", "Np", "Al", "Al", "Al", "Al", "Al", "Al", "Ga", "Ga", "Ga", "Ga", "Ga", "Ga", "Ga"],
  "fractional_positions": [[0.0000, 0.0000, 0.5000], [0.0000, 0.5000, 0.0000], [0.5000, 0.0000, 0.0000], [0.5000, 0.5000, 0.5000], [0.0000, 0.3055, 0.3055], [0.0000, 0.6945, 0.6945], [0.3055, 0.0000, 0.3055], [0.3055, 0.3055, 0.0000], [0.6945, 0.0000, 0.6945], [0.6945, 0.6945, 0.0000], [0.0000, 0.0000, 0.0000], [0.2500, 0.5000, 0.7500], [0.2500, 0.7500, 0.5000], [0.5000, 0.2500, 0.7500], [0.5000, 0.7500, 0.2500], [0.7500, 0.2500, 0.5000], [0.7500, 0.5000, 0.2500]],
  "formation_energy_kj_per_mol_atoms": -10.0,
  "crystal_system": "cubic",
  "energy_ev_per_atom": -5.72
}

=====

Entry 5:
{
  "formula": "Th2ZnOs",
  "functional": "PBE-GGA",
  "state": "relaxed",
  "cell": [[2.0922, 1.2079, 9.3585], [-2.0922, 1.2079, 9.3585], [0.0000, -2.4158, 9.3585]],
  "species": ["Th", "Th", "Zn", "Os"],
  "fractional_positions": [[0.1149, 0.1149, 0.1149], [0.8851, 0.8851, 0.8851], [0.0000, 0.0000, 0.0000], [0.5000, 0.5000, 0.5000]],
  "formation_energy_kj_per_mol_atoms": 11.2,
  "crystal_system": "trigonal",
  "energy_ev_per_atom": -6.72
}

=====

Entry 6:
{
  "formula": "Pu2ZnCo",
  "functional": "PBE-GGA",
  "state": "relaxed",
  "cell": [[0.0000, 3.4352, 3.4352], [3.4352, 0.0000, 3.4352], [3.4352, 3.4352, 0.0000]],
  "species": ["Pu", "Pu", "Zn", "Co"],
  "fractional_positions": [[0.2500, 0.2500, 0.2500], [0.7500, 0.7500, 0.7500], [0.0000, 0.0000, 0.0000], [0.5000, 0.5000, 0.5000]],
  "formation_energy_kj_per_mol_atoms": 8.4,
  "crystal_system": "cubic",
  "energy_ev_per_atom": -9.17
}

=====

Entry 7:
{
  "formula": "TcBr2F",
  "functional": "PBE-GGA",
  "state": "relaxed",
  "cell": [[1.5778, 0.9110, 8.6933], [-1.5778, 0.9110, 8.6933], [0.0000, -1.8219, 8.6933]],
  "species": ["Tc", "Br", "Br", "F"],
  "fractional_positions": [[0.0000, 0.0000, 0.0000], [0.0898, 0.0898, 0.0898], [0.9102, 0.9102, 0.9102], [0.5000, 0.5000, 0.5000]],
  "raw_formation_energy_ev_per_atom": 0.301,
  "crystal_system": "trigonal",
  "energy_ev_per_atom": -3.59
}

=====

Entry 8:
{
  "formula": "Na11TiNb2Si4P2O26",
  "functional": "PBE-GGA",
  "state": "relaxed",
  "cell": [[5.5794, 0.0000, 0.0000], [-0.0808, 7.2481, 0.0000], [-1.4291, -0.6654, 14.6250]],
  "species": ["Na", "Na", "Na", "Na", "Na", "Na", "Na", "Na", "Na", "Na", "Na", "Ti", "Nb", "Nb", "Si", "Si", "Si", "Si", "P", "P", "O", "O", "O", "O", "O", "O", "O", "O", "O", "O", "O", "O", "O", "O", "O", "O", "O", "O", "O", "O", "O", "O", "O", "O", "O", "O"],
  "fractional_positions": [[0.0000, 0.0000, 0.0000], [0.0100, 0.5231, 0.9673], [0.1957, 0.0120, 0.3655], [0.3769, 0.4910, 0.7639], [0.3881, 0.0140, 0.7317], [0.4375, 0.2430, 0.9423], [0.4882, 0.5175, 0.1315], [0.6880, 0.7629, 0.3622], [0.7066, 0.2711, 0.3639], [0.8982, 0.4991, 0.6049], [0.9482, 0.7739, 0.7913], [0.2244, 0.5102, 0.3574], [0.4953, 0.0015, 0.1490], [0.8932, 0.0175, 0.5822], [0.0137, 0.2890, 0.1685], [0.3794, 0.7283, 0.5602], [0.3891, 0.3052, 0.5513], [0.9943, 0.7131, 0.1819], [0.5054, 0.7623, 0.9334], [0.8805, 0.2513, 0.7996], [0.0202, 0.2322, 0.8956], [0.0315, 0.7048, 0.2924], [0.0415, 0.2975, 0.2790], [0.1458, 0.8132, 0.6082], [0.1762, 0.1978, 0.5964], [0.2082, 0.8255, 0.1397], [0.2479, 0.2075, 0.1194], [0.3472, 0.3088, 0.4407], [0.3650, 0.7212, 0.4495], [0.3656, 0.7805, 0.8373], [0.4046, 0.5166, 0.6007], [0.4265, 0.5795, 0.9749], [0.4453, 0.9368, 0.9961], [0.4673, 0.5116, 0.2913], [0.5172, 0.0255, 0.2720], [0.6054, 0.2507, 0.8078], [0.6289, 0.8338, 0.6073], [0.6505, 0.2185, 0.5836], [0.7322, 0.7963, 0.1482], [0.7648, 0.1817, 0.1232], [0.7804, 0.7639, 0.9253], [0.8763, 0.9968, 0.4592], [0.9398, 0.0776, 0.7365], [0.9598, 0.4355, 0.7594], [0.9604, 0.4866, 0.4500], [0.9894, 0.5030, 0.1305]],
  "raw_formation_energy_ev_per_atom": -2.386,
  "crystal_system": "triclinic",
  "energy_ev_per_atom": -6.82
}